A geometry-optimized Pr6Sn2Te3I structure, computed with PBE.

a b c (Å): 19.873 4.550 9.179
angles (deg): 90.00 102.59 90.00
Space group C2/m (No. 12)
Asymmetric unit:
Pr  0.007  0.000  0.274 (multiplicity 4)
Pr  0.169  0.500  0.579 (multiplicity 4)
Pr  0.175  0.500  0.101 (multiplicity 4)
Sn  0.167  0.000  0.334 (multiplicity 4)
Te  0.000  0.500  0.500 (multiplicity 2)
Te  0.161  0.000  0.837 (multiplicity 4)
I  0.000  0.500  0.000 (multiplicity 2)

Properties
The calculation puts the total energy at -5.1371 eV/atom. As for the uncorrected formation energy: -1.166 eV/atom.